*one*
First-principles (SCAN) data for a crystal of Mg2NiBr relaxed with PBEsol, as listed in Alexandria via LeMat-Bulk.

Computed properties:
N(E_F)   1.4 states/eV/cell
Space group   P4/mmm (123)
Magnetization   0.000 μB/cell

a = 4.776 Å, b = 4.776 Å, c = 3.139 Å
α = 90.00°, β = 90.00°, γ = 90.00°
Fractional coordinates of all 4 atoms:
Mg 0.000 0.500 0.000
Mg 0.500 0.000 0.000
Ni 0.000 0.000 0.500
Br 0.500 0.500 0.500


*two*
First-principles (SCAN) data for a crystal of Mg2NiBr relaxed with PBEsol, as listed in Alexandria via LeMat-Bulk.

Computed properties:
N(E_F)   2.1 states/eV/cell
Space group   R-3m (166)
Magnetization   0.000 μB/cell

a = 7.975 Å, b = 7.975 Å, c = 7.975 Å
α = 24.25°, β = 24.25°, γ = 24.25°
Fractional coordinates of all 4 atoms:
Mg 0.240 0.240 0.240
Mg 0.760 0.760 0.760
Ni 0.500 0.500 0.500
Br 0.000 0.000 0.000


Which of them is the most stable, and which is the least stable? *two* and *one*, in that order.